Entry 1:
Density functional theory data (PBE) for a relaxed BaAcSi2Au2 crystal. Values from VASP.

## Properties
formation energy without anion corrections = -0.698 eV/atom
space-group type = P-3m1, No. 164

Geometry as Quantum ESPRESSO input:
```
&SYSTEM
  ibrav = 0, nat = 6, ntyp = 4
/
ATOMIC_SPECIES
Si 28.09 Si.upf
Ba 137.33 Ba.upf
Ac 227.00 Ac.upf
Au 196.97 Au.upf
CELL_PARAMETERS angstrom
4.430 0.000 0.000
-2.215 3.837 0.000
0.000 0.000 9.387
ATOMIC_POSITIONS crystal
Si 0.333 0.667 0.767
Si 0.667 0.333 0.233
Ba 0.000 0.000 0.500
Ac 0.000 0.000 0.000
Au 0.667 0.333 0.761
Au 0.333 0.667 0.239
```


Entry 2:
Density functional theory data (PBE) for a relaxed BaAcSn2Au2 crystal. Values from VASP.

## Properties
energy of formation = -0.763 eV per atom
space-group type = P-3m1, No. 164

Geometry as Quantum ESPRESSO input:
```
&SYSTEM
  ibrav = 0, nat = 6, ntyp = 4
/
ATOMIC_SPECIES
Ba 137.33 Ba.upf
Sn 118.71 Sn.upf
Au 196.97 Au.upf
Ac 227.00 Ac.upf
CELL_PARAMETERS angstrom
4.794 0.000 0.000
-2.397 4.151 0.000
0.000 0.000 9.375
ATOMIC_POSITIONS crystal
Ba 0.000 0.000 0.000
Sn 0.333 0.667 0.740
Sn 0.667 0.333 0.260
Au 0.333 0.667 0.276
Au 0.667 0.333 0.724
Ac 0.000 0.000 0.500
```


Entry 3:
Density functional theory data (PBE) for a relaxed BaAc2Sn3Au6 crystal. Values from VASP.

## Properties
energy of formation = -0.563 eV per atom
space-group type = P4/mmm, No. 123

Geometry as Quantum ESPRESSO input:
```
&SYSTEM
  ibrav = 0, nat = 12, ntyp = 4
/
ATOMIC_SPECIES
Au 196.97 Au.upf
Sn 118.71 Sn.upf
Ba 137.33 Ba.upf
Ac 227.00 Ac.upf
CELL_PARAMETERS angstrom
-0.072 4.096 -2.217
-4.560 -0.512 -0.798
-3.057 6.984 12.999
ATOMIC_POSITIONS crystal
Au 0.000 0.000 0.816
Au 0.000 0.000 0.184
Au 0.500 0.000 0.703
Au 0.500 0.000 0.297
Au 0.000 0.500 0.297
Au 0.000 0.500 0.703
Sn 0.000 0.000 0.397
Sn 0.000 0.000 0.000
Sn 0.000 0.000 0.603
Ba 0.500 0.500 0.500
Ac 0.500 0.500 0.134
Ac 0.500 0.500 0.866
```


Entry 4:
Density functional theory data (PBE) for a relaxed BaAcTeAu crystal. Values from VASP.

## Properties
formation energy without anion corrections = -0.898 eV/atom
space-group type = F-43m, No. 216

Geometry as Quantum ESPRESSO input:
```
&SYSTEM
  ibrav = 0, nat = 4, ntyp = 4
/
ATOMIC_SPECIES
Ba 137.33 Ba.upf
Te 127.60 Te.upf
Ac 227.00 Ac.upf
Au 196.97 Au.upf
CELL_PARAMETERS angstrom
-4.157 -1.997 -3.459
-4.135 -3.406 2.131
-5.387 1.987 0.523
ATOMIC_POSITIONS crystal
Ba 0.250 0.250 0.250
Te 0.500 0.500 0.500
Ac 0.750 0.750 0.750
Au 0.000 0.000 0.000
```


no.,magnetic moment (Bohr magnetons per cell),E (eV/atom)
1,0.00,-4.60
2,0.00,-4.20
3,0.00,-4.05
4,1.49,-4.01